No. 1
LiNiBr2 after structural relaxation, computed with PBE.

density	3.7	g/cm3
E_form (uncorrected)	-0.53	eV/atom
space-group type	C2/m, No. 12
crystal system	monoclinic

Cell: 7.0947 7.0606 4.4242 Å, 90.00 115.66 90.00°
Atoms (fractional coordinates):
1 Li 0.0000 0.0000 0.0000
2 Li 0.5000 0.5000 0.0000
3 Ni 0.0000 0.5000 0.0000
4 Ni 0.5000 0.0000 0.0000
5 Br 0.2500 0.2500 0.0000
6 Br 0.2500 0.7500 0.0000
7 Br 0.7500 0.2500 0.0000
8 Br 0.7500 0.7500 0.0000

No. 2
Rb2LiNiBr6 after structural relaxation, computed with PBE.

density	4.1	g/cm3
E_form (uncorrected)	-1.07	eV/atom
space-group type	Pmmn, No. 59
crystal system	orthorhombic

Cell: 7.4481 10.5127 7.4431 Å, 90.00 90.00 90.00°
Atoms (fractional coordinates):
1 Rb 0.2500 0.0002 0.2500
2 Rb 0.2500 0.4998 0.2500
3 Rb 0.7500 0.9998 0.7500
4 Rb 0.7500 0.5002 0.7500
5 Li 0.2500 0.2500 0.7495
6 Li 0.7500 0.7500 0.2505
7 Ni 0.2500 0.7500 0.7500
8 Ni 0.7500 0.2500 0.2500
9 Br 0.0134 0.7500 0.5131
10 Br 0.0132 0.7500 0.9867
11 Br 0.2500 0.5121 0.7500
12 Br 0.2500 0.9879 0.7500
13 Br 0.4866 0.7500 0.5131
14 Br 0.4868 0.7500 0.9867
15 Br 0.5132 0.2500 0.0133
16 Br 0.5134 0.2500 0.4869
17 Br 0.7500 0.0121 0.2500
18 Br 0.7500 0.4879 0.2500
19 Br 0.9868 0.2500 0.0133
20 Br 0.9866 0.2500 0.4869

No. 3
LiSiNiBr2 after structural relaxation, computed with PBE.

density	3.7	g/cm3
E_form (uncorrected)	0.40	eV/atom
space-group type	P4/mmm, No. 123
crystal system	tetragonal

Cell: 4.8569 4.8569 4.7622 Å, 90.00 90.00 90.00°
Atoms (fractional coordinates):
1 Li 0.0000 0.0000 0.0000
2 Si 0.5000 0.5000 0.0000
3 Ni 0.0000 0.0000 0.5000
4 Br 0.0000 0.5000 0.5000
5 Br 0.5000 0.0000 0.5000

No. 4
LiTlNi2Br after structural relaxation, computed with PBE.

density	5.7	g/cm3
E_form (uncorrected)	0.56	eV/atom
space-group type	P4/mmm, No. 123
crystal system	tetragonal

Cell: 4.4065 4.4065 6.0835 Å, 90.00 90.00 90.00°
Atoms (fractional coordinates):
1 Li 0.0000 0.0000 0.0000
2 Tl 0.5000 0.5000 0.0000
3 Ni 0.0000 0.5000 0.5000
4 Ni 0.5000 0.0000 0.5000
5 Br 0.5000 0.5000 0.5000

Number 1: density of states at the Fermi level 1.259 states/eV per atom. Number 2: density of states at the Fermi level 0.277 states/eV per atom. Number 3: density of states at the Fermi level 0.590 states/eV per atom. Number 4: density of states at the Fermi level 0.394 states/eV per atom.